## Tm2Ni15Sn2 (GGA-PBE)

Data for an optimized crystal structure of Tm2Ni15Sn2.

a b c (Å): 6.4230 6.4230 6.4230
angles (deg): 82.07 82.07 82.07
Fractional positions:
Tm: 0.1171 0.1171 0.1171
Tm: 0.8829 0.8829 0.8829
Ni: 0.5000 0.0000 0.0000
Ni: 0.0000 0.0000 0.5000
Ni: 0.0000 0.5000 0.0000
Ni: 0.0000 0.6805 0.3195
Ni: 0.6805 0.3195 0.0000
Ni: 0.3195 0.0000 0.6805
Ni: 0.3195 0.6805 0.0000
Ni: 0.6805 0.0000 0.3195
Ni: 0.0000 0.3195 0.6805
Ni: 0.1762 0.6537 0.6537
Ni: 0.6537 0.6537 0.1762
Ni: 0.6537 0.1762 0.6537
Ni: 0.8238 0.3463 0.3463
Ni: 0.3463 0.3463 0.8238
Ni: 0.3463 0.8238 0.3463
Sn: 0.3692 0.3692 0.3692
Sn: 0.6308 0.6308 0.6308

Symmetry: R-3m
Volume: 258 Å³ per cell
DFT formation energy: -0.07 eV/atom

***

## TmNi6Sn2 (GGA-PBE)

Data for an optimized crystal structure of TmNi6Sn2.

a b c (Å): 3.4808 6.4242 7.2777
angles (deg): 116.19 103.84 90.00
Fractional positions:
Tm: 0.0000 0.5000 0.0000
Ni: 0.6789 0.8694 0.3579
Ni: 0.3211 0.1306 0.6421
Ni: 0.3211 0.5115 0.6421
Ni: 0.5000 0.1791 0.0000
Ni: 0.5000 0.8209 0.0000
Ni: 0.6789 0.4885 0.3579
Sn: 0.8610 0.8610 0.7220
Sn: 0.1390 0.1390 0.2780

Symmetry: Immm
Volume: 141 Å³ per cell
DFT formation energy: -0.10 eV/atom

***

## Tm12Ni5Sn (GGA-PBE)

Data for an optimized crystal structure of Tm12Ni5Sn.

a b c (Å): 8.1959 8.1959 8.1959
angles (deg): 106.86 111.55 110.04
Fractional positions:
Tm: 0.5271 0.8181 0.7089
Tm: 0.4729 0.1819 0.2911
Tm: 0.8908 0.1819 0.7089
Tm: 0.1092 0.8181 0.2911
Tm: 0.6949 0.6780 0.3729
Tm: 0.3051 0.3220 0.6271
Tm: 0.3051 0.6780 0.9831
Tm: 0.6949 0.3220 0.0169
Tm: 0.8078 0.5932 0.7854
Tm: 0.1922 0.4068 0.2146
Tm: 0.1922 0.9776 0.7854
Tm: 0.8078 0.0224 0.2146
Ni: 0.6375 0.6375 0.0000
Ni: 0.3625 0.3625 0.0000
Ni: 0.5000 0.1237 0.6237
Ni: 0.5000 0.8763 0.3763
Ni: 0.0000 0.0000 0.0000
Sn: 0.0000 0.5000 0.5000

Symmetry: Immm
Volume: 423 Å³ per cell
DFT formation energy: -0.41 eV/atom

***

## TmNiSn2 (GGA-PBE)

Data for an optimized crystal structure of TmNiSn2.

a b c (Å): 4.4043 9.1946 9.9744
angles (deg): 117.45 102.75 90.00
Fractional positions:
Tm: 0.7037 0.7037 0.4074
Tm: 0.5000 0.2671 0.0000
Tm: 0.5000 0.7329 0.0000
Tm: 0.2963 0.2963 0.5926
Ni: 0.8536 0.5991 0.7073
Ni: 0.1464 0.4009 0.2927
Ni: 0.1464 0.8918 0.2927
Ni: 0.8536 0.1082 0.7073
Sn: 0.9195 0.4195 0.8391
Sn: 0.6977 0.3612 0.3954
Sn: 0.6977 0.0342 0.3954
Sn: 0.3023 0.6388 0.6046
Sn: 0.0832 0.0832 0.1663
Sn: 0.0805 0.5805 0.1609
Sn: 0.9168 0.9168 0.8337
Sn: 0.3023 0.9658 0.6046

Symmetry: Immm
Volume: 347 Å³ per cell
DFT formation energy: -0.49 eV/atom